(one)
A relaxed TlCd2Fe crystal, computed with PBE-GGA.

a = 9.8842 Å, b = 9.8842 Å, c = 9.8842 Å
α = 18.40°, β = 18.40°, γ = 18.40°
Fractional positions:
Tl: 0.0000 0.0000 0.0000
Cd: 0.5170 0.5170 0.5170
Cd: 0.7595 0.7595 0.7595
Fe: 0.2565 0.2565 0.2565

***

(two)
A relaxed TlCd2Fe crystal, computed with PBE-GGA.

a = 5.5842 Å, b = 5.5842 Å, c = 5.5842 Å
α = 136.35°, β = 136.35°, γ = 63.44°
Fractional positions:
Tl: 0.0000 0.0000 0.0000
Cd: 0.2500 0.7500 0.5000
Cd: 0.7500 0.2500 0.5000
Fe: 0.5000 0.5000 0.0000

***

Taking the most stable structure as the zero point, the relative energies in eV/atom are (one) 0.000; (two) 0.047.

***

(one)
A relaxed TlCd2Fe crystal, computed with PBE-GGA.

a = 4.9041 Å, b = 4.9041 Å, c = 4.9041 Å
α = 60.00°, β = 60.00°, γ = 60.00°
Fractional positions:
Tl: 0.0000 0.0000 0.0000
Cd: 0.5000 0.5000 0.5000
Cd: 0.7500 0.7500 0.7500
Fe: 0.2500 0.2500 0.2500

***

(two)
A relaxed TlCd2Fe crystal, computed with PBE-GGA.

a = 7.1196 Å, b = 7.1196 Å, c = 7.1196 Å
α = 156.23°, β = 141.78°, γ = 45.51°
Fractional positions:
Tl: 0.0000 0.0000 0.0000
Cd: 0.3075 0.8075 0.5000
Cd: 0.6375 0.6375 0.0000
Fe: 0.8166 0.3166 0.5000

***

(three)
A relaxed TlCd2Fe crystal, computed with PBE-GGA.

a = 3.2046 Å, b = 4.8574 Å, c = 5.3263 Å
α = 90.00°, β = 90.00°, γ = 90.00°
Fractional positions:
Tl: 0.0000 0.0000 0.0000
Cd: 0.0000 0.5000 0.5000
Cd: 0.5000 0.0000 0.5000
Fe: 0.5000 0.5000 0.0000

***

Taking the most stable structure as the zero point, the relative energies in eV/atom are (one) 0.176; (two) 0.000; (three) 0.113.